A plane-wave DFT calculation with PBE was carried out for a relaxed structure of YThPb.

Unit cell a=5.263 b=5.263 c=5.263 alpha=60.00 beta=60.00 gamma=60.00
Element x y z (fractional)
Y 0.000 0.000 0.000
Th 0.500 0.500 0.500
Pb 0.750 0.750 0.750

Calculated values
SG = F-43m
Total moment = 0.022 μB per formula unit
Electronic total energy = -5.855 eV/atom

***

A plane-wave DFT calculation with PBE was carried out for a relaxed structure of ThZrPb.

Unit cell a=5.118 b=5.118 c=5.118 alpha=60.00 beta=60.00 gamma=60.00
Element x y z (fractional)
Th 0.000 0.000 0.000
Zr 0.500 0.500 0.500
Pb 0.250 0.250 0.250

Calculated values
SG = F-43m
Total moment = 0.033 μB per formula unit
Electronic total energy = -6.297 eV/atom

***

A plane-wave DFT calculation with PBE was carried out for a relaxed structure of Tm8TlPb5.

Unit cell a=8.021 b=8.021 c=8.021 alpha=109.51 beta=109.51 gamma=109.39
Element x y z (fractional)
Tm 0.017 0.627 0.751
Tm 0.230 0.480 0.107
Tm 0.373 0.124 0.390
Tm 0.374 0.124 0.893
Tm 0.520 0.626 0.750
Tm 0.734 0.983 0.610
Tm 0.876 0.266 0.249
Tm 0.876 0.770 0.250
Tl 0.000 0.000 0.000
Pb 0.126 0.251 0.626
Pb 0.250 0.750 0.500
Pb 0.500 0.874 0.125
Pb 0.625 0.500 0.374
Pb 0.749 0.375 0.875

Calculated values
SG = I-4
Total moment = 0.011 μB per formula unit
Electronic total energy = -4.484 eV/atom

***

A plane-wave DFT calculation with PBE was carried out for a relaxed structure of Zr5TlPb3.

Unit cell a=8.942 b=8.942 c=6.067 alpha=90.00 beta=90.00 gamma=120.00
Element x y z (fractional)
Zr 0.000 0.281 0.250
Zr 0.000 0.719 0.750
Zr 0.281 0.000 0.250
Zr 0.281 0.281 0.750
Zr 0.333 0.667 0.000
Zr 0.333 0.667 0.500
Zr 0.667 0.333 0.000
Zr 0.667 0.333 0.500
Zr 0.719 0.000 0.750
Zr 0.719 0.719 0.250
Tl 0.000 0.000 0.000
Tl 0.000 0.000 0.500
Pb 0.000 0.382 0.750
Pb 0.000 0.618 0.250
Pb 0.382 0.000 0.750
Pb 0.382 0.382 0.250
Pb 0.618 0.000 0.250
Pb 0.618 0.618 0.750

Calculated values
SG = P6_3/mcm
Total moment = 0.005 μB per formula unit
Electronic total energy = -6.490 eV/atom

***

A plane-wave DFT calculation with PBE was carried out for a relaxed structure of TmPb3.

Unit cell a=4.835 b=4.835 c=4.835 alpha=90.00 beta=90.00 gamma=90.00
Element x y z (fractional)
Tm 0.000 0.000 0.000
Pb 0.000 0.500 0.500
Pb 0.500 0.000 0.500
Pb 0.500 0.500 0.000

Calculated values
SG = Pm-3m
Total moment = 0.006 μB per formula unit
Electronic total energy = -4.110 eV/atom

***

A plane-wave DFT calculation with PBE was carried out for a relaxed structure of Tm2UPb2.

Unit cell a=5.255 b=5.255 c=6.499 alpha=90.00 beta=90.00 gamma=120.00
Element x y z (fractional)
Tm 0.333 0.667 0.186
Tm 0.667 0.333 0.814
U 0.000 0.000 0.500
Pb 0.333 0.667 0.705
Pb 0.667 0.333 0.295

Calculated values
SG = P-3m1
Total moment = 3.955 μB per formula unit
Electronic total energy = -5.439 eV/atom

***

A plane-wave DFT calculation with PBE was carried out for a relaxed structure of TmUPb.

Unit cell a=5.195 b=5.195 c=5.195 alpha=60.00 beta=60.00 gamma=60.00
Element x y z (fractional)
Tm 0.000 0.000 0.000
U 0.500 0.500 0.500
Pb 0.250 0.250 0.250

Calculated values
SG = F-43m
Total moment = 4.349 μB per formula unit
Electronic total energy = -5.931 eV/atom

***

A plane-wave DFT calculation with PBE was carried out for a relaxed structure of Tm5Zn2Pb.

Unit cell a=8.531 b=8.531 c=8.531 alpha=124.14 beta=124.14 gamma=82.97
Element x y z (fractional)
Tm 0.000 0.000 0.000
Tm 0.009 0.509 0.807
Tm 0.202 0.009 0.500
Tm 0.298 0.798 0.807
Tm 0.491 0.298 0.500
Tm 0.500 0.500 0.000
Tm 0.509 0.702 0.500
Tm 0.702 0.202 0.193
Tm 0.798 0.991 0.500
Tm 0.991 0.491 0.193
Zn 0.137 0.363 0.500
Zn 0.363 0.863 0.226
Zn 0.637 0.137 0.774
Zn 0.863 0.637 0.500
Pb 0.250 0.250 0.000
Pb 0.750 0.750 0.000

Calculated values
SG = I4/mcm
Total moment = 0.005 μB per formula unit
Electronic total energy = -3.913 eV/atom

***

A plane-wave DFT calculation with PBE was carried out for a relaxed structure of UPb.

Unit cell a=4.994 b=4.994 c=4.994 alpha=60.00 beta=60.00 gamma=60.00
Element x y z (fractional)
U 0.000 0.000 0.000
Pb 0.250 0.250 0.250

Calculated values
SG = F-43m
Total moment = 2.276 μB per formula unit
Electronic total energy = -5.994 eV/atom

***

A plane-wave DFT calculation with PBE was carried out for a relaxed structure of UPb.

Unit cell a=3.227 b=3.227 c=5.672 alpha=90.00 beta=90.00 gamma=120.00
Element x y z (fractional)
U 0.000 0.000 0.000
Pb 0.333 0.667 0.500

Calculated values
SG = P-6m2
Total moment = 2.143 μB per formula unit
Electronic total energy = -7.215 eV/atom

***

A plane-wave DFT calculation with PBE was carried out for a relaxed structure of UPb.

Unit cell a=3.436 b=3.436 c=4.612 alpha=90.00 beta=90.00 gamma=90.00
Element x y z (fractional)
U 0.000 0.000 0.000
Pb 0.500 0.500 0.500

Calculated values
SG = P4/mmm
Total moment = 3.311 μB per formula unit
Electronic total energy = -7.155 eV/atom

***

A plane-wave DFT calculation with PBE was carried out for a relaxed structure of UPb.

Unit cell a=4.461 b=4.461 c=4.461 alpha=60.00 beta=60.00 gamma=60.00
Element x y z (fractional)
U 0.000 0.000 0.000
Pb 0.500 0.500 0.500

Calculated values
SG = Fm-3m
Total moment = 2.047 μB per formula unit
Electronic total energy = -6.829 eV/atom

***

A plane-wave DFT calculation with PBE was carried out for a relaxed structure of ZrUPb.

Unit cell a=5.035 b=5.035 c=5.035 alpha=60.00 beta=60.00 gamma=60.00
Element x y z (fractional)
Zr 0.000 0.000 0.000
U 0.500 0.500 0.500
Pb 0.750 0.750 0.750

Calculated values
SG = F-43m
Total moment = 4.057 μB per formula unit
Electronic total energy = -7.108 eV/atom
Energy above the most stable polymorph in this dataset = 0.0000 eV per atom

***

A plane-wave DFT calculation with PBE was carried out for a relaxed structure of ZrUPb.

Unit cell a=5.111 b=5.111 c=5.111 alpha=60.00 beta=60.00 gamma=60.00
Element x y z (fractional)
Zr 0.000 0.000 0.000
U 0.750 0.750 0.750
Pb 0.500 0.500 0.500

Calculated values
SG = F-43m
Total moment = 5.689 μB per formula unit
Electronic total energy = -6.773 eV/atom
Energy above the most stable polymorph in this dataset = 0.3347 eV per atom

***

A plane-wave DFT calculation with PBE was carried out for a relaxed structure of YPb2W.

Unit cell a=5.193 b=5.193 c=5.193 alpha=60.00 beta=60.00 gamma=60.00
Element x y z (fractional)
Y 0.000 0.000 0.000
Pb 0.500 0.500 0.500
Pb 0.750 0.750 0.750
W 0.250 0.250 0.250

Calculated values
SG = F-43m
Total moment = 2.040 μB per formula unit
Electronic total energy = -5.971 eV/atom

***

A plane-wave DFT calculation with PBE was carried out for a relaxed structure of YZnPb2.

Unit cell a=5.374 b=5.374 c=5.374 alpha=60.00 beta=60.00 gamma=60.00
Element x y z (fractional)
Y 0.000 0.000 0.000
Zn 0.750 0.750 0.750
Pb 0.250 0.250 0.250
Pb 0.500 0.500 0.500

Calculated values
SG = F-43m
Total moment = 0.008 μB per formula unit
Electronic total energy = -3.853 eV/atom

***

A plane-wave DFT calculation with PBE was carried out for a relaxed structure of YZn2Pb.

Unit cell a=5.039 b=5.039 c=5.039 alpha=60.00 beta=60.00 gamma=60.00
Element x y z (fractional)
Y 0.000 0.000 0.000
Zn 0.250 0.250 0.250
Zn 0.500 0.500 0.500
Pb 0.750 0.750 0.750

Calculated values
SG = F-43m
Total moment = 0.001 μB per formula unit
Electronic total energy = -3.241 eV/atom

***

A plane-wave DFT calculation with PBE was carried out for a relaxed structure of ZnPb.

Unit cell a=3.397 b=5.290 c=10.767 alpha=90.00 beta=90.00 gamma=90.00
Element x y z (fractional)
Zn 0.250 0.250 0.006
Zn 0.250 0.750 0.177
Zn 0.750 0.250 0.823
Zn 0.750 0.750 0.994
Pb 0.250 0.250 0.571
Pb 0.250 0.750 0.764
Pb 0.750 0.250 0.236
Pb 0.750 0.750 0.429

Calculated values
SG = Pmmn
Electronic total energy = -2.348 eV/atom

***

A plane-wave DFT calculation with PBE was carried out for a relaxed structure of ZnPb.

Unit cell a=5.308 b=6.568 c=11.179 alpha=90.00 beta=90.00 gamma=90.00
Element x y z (fractional)
Zn 0.250 0.038 0.069
Zn 0.250 0.250 0.308
Zn 0.250 0.250 0.867
Zn 0.250 0.462 0.069
Zn 0.750 0.538 0.931
Zn 0.750 0.750 0.133
Zn 0.750 0.750 0.692
Zn 0.750 0.962 0.931
Pb 0.250 0.000 0.592
Pb 0.250 0.500 0.592
Pb 0.250 0.750 0.275
Pb 0.250 0.750 0.856
Pb 0.750 0.000 0.408
Pb 0.750 0.250 0.144
Pb 0.750 0.250 0.725
Pb 0.750 0.500 0.408

Calculated values
SG = Pmmn
Electronic total energy = -2.322 eV/atom

***

A plane-wave DFT calculation with PBE was carried out for a relaxed structure of ZnPb.

Unit cell a=7.422 b=5.079 c=4.954 alpha=90.00 beta=90.00 gamma=90.00
Element x y z (fractional)
Zn 0.077 0.059 0.250
Zn 0.077 0.441 0.750
Zn 0.923 0.559 0.250
Zn 0.923 0.941 0.750
Pb 0.328 0.522 0.250
Pb 0.328 0.978 0.750
Pb 0.672 0.022 0.250
Pb 0.672 0.478 0.750

Calculated values
SG = Pbcm
Electronic total energy = -2.384 eV/atom

***

A plane-wave DFT calculation with PBE was carried out for a relaxed structure of ZnPb.

Unit cell a=4.540 b=10.440 c=6.100 alpha=90.00 beta=90.00 gamma=90.00
Element x y z (fractional)
Zn 0.000 0.055 0.000
Zn 0.000 0.207 0.652
Zn 0.000 0.793 0.152
Zn 0.000 0.945 0.500
Zn 0.500 0.196 0.892
Zn 0.500 0.804 0.392
Pb 0.000 0.345 0.149
Pb 0.000 0.655 0.649
Pb 0.500 0.110 0.356
Pb 0.500 0.412 0.583
Pb 0.500 0.588 0.083
Pb 0.500 0.890 0.856

Calculated values
SG = Pmc2_1
Electronic total energy = -2.369 eV/atom

***

A plane-wave DFT calculation with PBE was carried out for a relaxed structure of ZnPb.

Unit cell a=4.449 b=9.521 c=9.521 alpha=143.09 beta=90.00 gamma=90.00
Element x y z (fractional)
Zn 0.000 0.000 0.000
Zn 0.000 0.555 0.721
Zn 0.000 0.721 0.555
Zn 0.500 0.832 0.984
Zn 0.500 0.984 0.832
Pb 0.000 0.008 0.323
Pb 0.000 0.323 0.008
Pb 0.500 0.382 0.382
Pb 0.500 0.390 0.785
Pb 0.500 0.785 0.390

Calculated values
SG = Amm2
Electronic total energy = -2.389 eV/atom

***

A plane-wave DFT calculation with PBE was carried out for a relaxed structure of ZnPb.

Unit cell a=5.221 b=12.814 c=5.809 alpha=90.00 beta=90.00 gamma=90.00
Element x y z (fractional)
Zn 0.250 0.002 0.104
Zn 0.250 0.139 0.768
Zn 0.250 0.361 0.768
Zn 0.250 0.498 0.104
Zn 0.750 0.502 0.896
Zn 0.750 0.639 0.232
Zn 0.750 0.861 0.232
Zn 0.750 0.998 0.896
Pb 0.250 0.250 0.290
Pb 0.250 0.586 0.586
Pb 0.250 0.750 0.095
Pb 0.250 0.914 0.586
Pb 0.750 0.086 0.414
Pb 0.750 0.250 0.905
Pb 0.750 0.414 0.414
Pb 0.750 0.750 0.710

Calculated values
SG = Pmmn
Electronic total energy = -2.349 eV/atom

***

A plane-wave DFT calculation with PBE was carried out for a relaxed structure of ZnPb2.

Unit cell a=6.463 b=6.463 c=6.463 alpha=60.00 beta=60.00 gamma=60.00
Element x y z (fractional)
Zn 0.125 0.125 0.125
Zn 0.875 0.875 0.875
Pb 0.000 0.500 0.500
Pb 0.500 0.000 0.500
Pb 0.500 0.500 0.000
Pb 0.500 0.500 0.500

Calculated values
SG = Fd-3m
Electronic total energy = -2.501 eV/atom

***

A plane-wave DFT calculation with PBE was carried out for a relaxed structure of ZnPb.

Unit cell a=4.480 b=4.480 c=4.480 alpha=60.00 beta=60.00 gamma=60.00
Element x y z (fractional)
Zn 0.000 0.000 0.000
Pb 0.250 0.250 0.250

Calculated values
SG = F-43m
Electronic total energy = -2.040 eV/atom

***

A plane-wave DFT calculation with PBE was carried out for a relaxed structure of Zn3Pb.

Unit cell a=6.353 b=6.353 c=4.379 alpha=90.00 beta=90.00 gamma=118.28
Element x y z (fractional)
Zn 0.132 0.281 0.750
Zn 0.151 0.849 0.750
Zn 0.281 0.132 0.250
Zn 0.719 0.868 0.750
Zn 0.849 0.151 0.250
Zn 0.868 0.719 0.250
Pb 0.343 0.657 0.250
Pb 0.657 0.343 0.750

Calculated values
SG = Cmcm
Electronic total energy = -1.726 eV/atom